No. 1
The following is a SCAN calculation of a crystal of BeReAs2Se relaxed with PBEsol, from the Alexandria database.

Summary:
Total magnetic moment in μB/f.u.: 1.95
Formation energy from raw total energies in meV per atom: 1195

a = 4.230 Å, b = 4.230 Å, c = 4.578 Å
α = 90.00°, β = 90.00°, γ = 90.00°
Space group P4/mmm (No. 123)
Inequivalent atoms, fractional coordinates:
1 Be 0.000 0.000 0.000 (multiplicity 1)
2 Re 0.500 0.500 0.500 (multiplicity 1)
3 As 0.000 0.500 0.000 (multiplicity 2)
4 Se 0.000 0.000 0.500 (multiplicity 1)

No. 2
The following is a SCAN calculation of a crystal of Be2AsRu relaxed with PBEsol, from the Alexandria database.

Summary:
Total magnetic moment in μB/f.u.: 0.00
E_form in eV/atom: 0.4045

a = 2.905 Å, b = 4.538 Å, c = 7.620 Å
α = 90.00°, β = 90.00°, γ = 90.00°
Space group Cmm2 (No. 35)
Inequivalent atoms, fractional coordinates:
1 Be 0.000 0.000 0.000 (multiplicity 2)
2 Be 0.000 0.500 0.218 (multiplicity 2)
3 As 0.000 0.500 0.720 (multiplicity 2)
4 Ru 0.000 0.000 0.448 (multiplicity 2)

No. 3
The following is a SCAN calculation of a crystal of BeAsRu2 relaxed with PBEsol, from the Alexandria database.

Summary:
Total magnetic moment in μB/f.u.: 0.00
E_form in eV/atom: -0.3660

a = 5.769 Å, b = 5.769 Å, c = 5.769 Å
α = 90.00°, β = 90.00°, γ = 90.00°
Space group Fm-3m (No. 225)
Inequivalent atoms, fractional coordinates:
1 Be 0.000 0.000 0.000 (multiplicity 4)
2 As 0.000 0.000 0.500 (multiplicity 4)
3 Ru 0.250 0.250 0.250 (multiplicity 8)

No. 4
The following is a SCAN calculation of a crystal of BeAsRu2 relaxed with PBEsol, from the Alexandria database.

Summary:
Total magnetic moment in μB/f.u.: 0.00
E_form in eV/atom: 0.1114

a = 3.026 Å, b = 3.726 Å, c = 4.576 Å
α = 90.00°, β = 90.00°, γ = 90.00°
Space group Pmmm (No. 47)
Inequivalent atoms, fractional coordinates:
1 Be 0.000 0.000 0.000 (multiplicity 1)
2 As 0.500 0.000 0.500 (multiplicity 1)
3 Ru 0.000 0.500 0.500 (multiplicity 1)
4 Ru 0.500 0.500 0.000 (multiplicity 1)

No. 5
The following is a SCAN calculation of a crystal of Be2AsRu relaxed with PBEsol, from the Alexandria database.

Summary:
Total magnetic moment in μB/f.u.: 0.00
E_form in eV/atom: -0.1054

a = 3.724 Å, b = 3.724 Å, c = 3.186 Å
α = 90.00°, β = 90.00°, γ = 90.00°
Space group P4/mmm (No. 123)
Inequivalent atoms, fractional coordinates:
1 Be 0.000 0.500 0.000 (multiplicity 2)
2 As 0.000 0.000 0.500 (multiplicity 1)
3 Ru 0.500 0.500 0.500 (multiplicity 1)

No. 6
The following is a SCAN calculation of a crystal of BeAsRu2 relaxed with PBEsol, from the Alexandria database.

Summary:
Total magnetic moment in μB/f.u.: 0.00
E_form in eV/atom: -0.1023

a = 7.694 Å, b = 2.873 Å, c = 4.724 Å
α = 90.00°, β = 104.82°, γ = 90.00°
Space group C2/m (No. 12)
Inequivalent atoms, fractional coordinates:
1 Be 0.000 0.000 0.000 (multiplicity 2)
2 As 0.000 0.500 0.500 (multiplicity 2)
3 Ru 0.231 0.500 0.231 (multiplicity 4)

Number 1: DOS(E_F) 0.71 states/eV/atom. Number 2: DOS(E_F) 0.54 states/eV/atom. Number 3: DOS(E_F) 0.57 states/eV/atom. Number 4: DOS(E_F) 0.82 states/eV/atom. Number 5: DOS(E_F) 0.26 states/eV/atom. Number 6: DOS(E_F) 0.57 states/eV/atom.